Fe2IrF after structural relaxation, computed with PBE+U.

Geometry as POSCAR:
```
Fe2IrF
1.0
6.1506 0.0000 0.0000
0.0000 6.1506 0.0000
3.0753 3.0753 3.1913
Fe F Ir
4 2 2
Cartesian
7.6882 7.3585 2.3934 Fe
4.6129 4.9426 2.3934 Fe
4.2832 1.5376 0.7978 Fe
1.8673 4.6129 0.7978 Fe
3.0753 3.0753 0.0000 F
3.0753 6.1506 1.5956 F
6.1506 3.0753 1.5956 Ir
0.0000 0.0000 0.0000 Ir
```

Computed properties:
total DFT energy (no corrections) = -5.58 eV/atom
total moment = 16.1 μB/cell
relative energy among the computed polymorphs = 0.00 kcal/mol of atoms
density of states at the Fermi level = 0.31 states/eV/atom
V = 120.7 Å³ per cell